[1]
Pm2ErBi2, relaxed, DFT PBE-GGA; symmetry = No. 72; calculated density = 8.56 Mg/m³; total DFT energy (no corrections) = -49.7 eV for the cell shown; total moment = 0.00 μB/atom
1.0
-5.8106 0.4383 -2.7801
3.7107 -0.3743 -7.8146
0.5647 -6.0863 5.3570
Pm Er Bi
4 2 4
Direct
0.6523 0.0058 0.3045
0.8477 0.7013 0.6955
0.3477 0.9942 0.6955
0.1523 0.2987 0.3045
0.2500 0.5000 0.0000
0.7500 0.5000 0.0000
0.6077 0.3266 0.2154
0.1077 0.8888 0.2154
0.3923 0.6734 0.7846
0.8923 0.1112 0.7846

=====

[2]
Tb2Zn2SbRh5, relaxed, DFT PBE-GGA; symmetry = No. 127; ΔE_f (raw) = -6.740 eV/f.u.; calculated density = 10.44 Mg/m³; total DFT energy (no corrections) = -118.9 eV for the cell shown; total moment = 0.00 μB/atom
1.0
3.6516 0.0000 0.0000
0.0000 9.7208 0.0000
0.0000 0.0000 9.7208
Zn Sb Rh Tb
4 2 10 4
Direct
0.0000 0.1241 0.6241
0.0000 0.3759 0.1241
0.0000 0.6241 0.8759
0.0000 0.8759 0.3759
0.0000 0.0000 0.0000
0.0000 0.5000 0.5000
0.5000 0.9330 0.2052
0.5000 0.5000 0.0000
0.5000 0.0000 0.5000
0.5000 0.5670 0.7052
0.5000 0.7948 0.9330
0.5000 0.4330 0.2948
0.5000 0.7052 0.4330
0.5000 0.0670 0.7948
0.5000 0.2052 0.0670
0.5000 0.2948 0.5670
0.0000 0.3265 0.8265
0.0000 0.1735 0.3265
0.0000 0.8265 0.6735
0.0000 0.6735 0.1735

=====

[3]
TiZn3Pt4, relaxed, DFT PBE-GGA; symmetry = No. 51; calculated density = 14.27 Mg/m³; total DFT energy (no corrections) = -82.9 eV for the cell shown; total moment = 0.00 μB/atom
1.0
-1.7435 -1.4162 4.0555
4.5854 -3.2265 0.8446
4.1019 6.9242 4.1815
Zn Pt Ti
6 8 2
Direct
0.0000 0.0000 0.0000
0.5963 0.0000 0.7500
0.4037 0.0000 0.2500
0.5960 0.5000 0.7500
0.0000 0.0000 0.5000
0.4040 0.5000 0.2500
0.9036 0.2480 0.2500
0.0964 0.2480 0.7500
0.5000 0.7516 0.0000
0.5000 0.2484 0.0000
0.9036 0.7520 0.2500
0.5000 0.2484 0.5000
0.0964 0.7520 0.7500
0.5000 0.7516 0.5000
0.0000 0.5000 0.5000
0.0000 0.5000 0.0000